# CdBiAu2, relaxed, DFT PBE
# Calculated formation energy (eV/atom): -0.06
# Total moment (μB per cell): 0.000
# Crystal system: tetragonal
data_CdBiAu2
_chemical_formula_sum 'Cd1 Bi1 Au2'
_space_group_name_H-M_alt 'P 4/m m m'
_space_group_IT_number 123
_space_group_name_Hall '-P 4 2'
_cell_length_a 3.542
_cell_length_b 3.542
_cell_length_c 7.038
_cell_angle_alpha 90.00
_cell_angle_beta 90.00
_cell_angle_gamma 90.00
loop_
_atom_site_label
_atom_site_type_symbol
_atom_site_fract_x
_atom_site_fract_y
_atom_site_fract_z
Cd1 Cd 0.000 0.000 0.000
Bi1 Bi 0.000 0.000 0.500
Au1 Au 0.500 0.500 0.217